VASP calculation (PBE) on a relaxed structure of CeTh3Co3.

Properties
The volume is 22.40 Å³/atom. As for the final energy: -7.17 eV per atom. The spin magnetization comes out at 0.00 μB/f.u. For the formation energy, the calculation gives -0.69 eV/f.u.

Structure (extended XYZ):
```
7
Lattice="4.511 2.605 2.224 -4.511 2.605 2.224 0.000 -5.209 2.224" Properties=species:S:1:pos:R:3 pbc="T T T"
Ce 0.000 0.000 0.000
Th -1.875 -1.082 2.849
Th 1.875 -1.082 2.849
Th 0.000 2.165 2.849
Co 0.000 -2.479 1.268
Co -2.147 1.239 1.268
Co 2.147 1.239 1.268
```